Tb2Pr2DyTm (PBE, optimized geometry); space-group type = Pmma (51); total magnetization = 0.0 μB/f.u.; ΔH_f (0 K) = 0.06 eV/atom
1.0
5.6720 0.0000 0.0000
0.0000 7.0457 0.0000
0.0000 0.0000 9.8343
Tb Pr Dy Tm
4 4 2 2
Direct
0.0000 0.2575 0.8358 Tb
0.5000 0.2577 0.3328 Tb
0.0000 0.7575 0.1642 Tb
0.5000 0.7577 0.6672 Tb
0.5000 0.0076 0.9999 Pr
0.0000 0.2575 0.1790 Pr
0.5000 0.5076 0.0001 Pr
0.0000 0.7575 0.8210 Pr
0.5000 0.2577 0.6577 Dy
0.5000 0.7577 0.3423 Dy
0.0000 0.0076 0.5000 Tm
0.0000 0.5076 0.5000 Tm

=====

TbPr4DyTm2 (PBE, optimized geometry); space-group type = Pmmm (47); total magnetization = 0.0 μB/f.u.; ΔH_f (0 K) = 0.02 eV/atom
1.0
5.1737 0.0000 0.0000
0.0000 5.0461 1.0422
0.0000 3.0204 10.8579
Tb Pr Dy Tm
1 4 1 2
Direct
0.5000 0.5000 0.0000 Tb
0.0000 0.7502 0.7500 Pr
0.0000 0.2498 0.2500 Pr
0.5000 0.7490 0.2506 Pr
0.5000 0.2510 0.7494 Pr
0.0000 0.5000 0.5000 Dy
0.0000 0.0000 0.0000 Tm
0.5000 0.0000 0.5000 Tm

=====

TbPrDy2Tm4 (PBE, optimized geometry); space-group type = Imma (74); total magnetization = 2.6 μB/f.u.; ΔH_f (0 K) = 0.44 eV/atom
1.0
-7.1079 -1.0726 -6.1449
5.2352 -5.7659 -5.3646
-0.5395 0.5228 11.6798
Tb Pr Dy Tm
2 2 4 8
Direct
0.0000 0.5000 0.0000 Tb
0.0000 0.5000 0.5000 Tb
0.5000 0.5000 0.5000 Pr
0.0000 0.0000 0.0000 Pr
0.5000 0.0000 0.0000 Dy
0.5000 0.0000 0.5000 Dy
0.0000 0.0000 0.5000 Dy
0.5000 0.5000 0.0000 Dy
0.2528 0.7476 0.0004 Tm
0.7524 0.2472 0.4996 Tm
0.2476 0.7528 0.5004 Tm
0.7472 0.2524 0.9996 Tm
0.7492 0.7499 0.0027 Tm
0.7501 0.7508 0.4973 Tm
0.2499 0.2492 0.5027 Tm
0.2508 0.2501 0.9973 Tm

=====

Tb2PrDy6Tm (PBE, optimized geometry); space-group type = C2/c (15); total magnetization = 0.0 μB/f.u.; ΔH_f (0 K) = 0.12 eV/atom
1.0
-7.4886 -3.7932 4.5290
-3.0877 -2.0136 -7.9723
5.7426 -5.5342 3.6798
Tb Pr Dy Tm
4 2 12 2
Direct
0.4537 0.8000 0.6951 Tb
0.0463 0.3049 0.2000 Tb
0.5463 0.2000 0.3049 Tb
0.9537 0.6951 0.8000 Tb
0.2500 0.9757 0.0243 Pr
0.7500 0.0243 0.9757 Pr
0.0569 0.1245 0.7493 Dy
0.4431 0.2507 0.8755 Dy
0.9431 0.8755 0.2507 Dy
0.5569 0.7493 0.1245 Dy
0.3156 0.9839 0.4340 Dy
0.1844 0.5660 0.0161 Dy
0.6844 0.0161 0.5660 Dy
0.8156 0.4340 0.9839 Dy
0.1183 0.7081 0.4912 Dy
0.3817 0.5088 0.2919 Dy
0.8817 0.2919 0.5088 Dy
0.6183 0.4912 0.7081 Dy
0.2500 0.4098 0.5902 Tm
0.7500 0.5902 0.4098 Tm

=====

Tb2Pr6Dy3Tm (PBE, optimized geometry); space-group type = C2/m (12); total magnetization = 0.0 μB/f.u.; ΔH_f (0 K) = 0.01 eV/atom
1.0
6.3045 -0.0007 0.0069
-3.1513 5.4604 0.0069
-1.0611 -1.8373 11.6980
Tb Pr Dy Tm
2 6 3 1
Direct
0.3332 0.6668 0.0000 Tb
0.6668 0.3332 0.0000 Tb
0.9164 0.5836 0.7502 Pr
0.7507 0.7507 0.2500 Pr
0.0836 0.4164 0.2498 Pr
0.5836 0.9164 0.7502 Pr
0.2493 0.2493 0.7500 Pr
0.4164 0.0836 0.2498 Pr
0.1667 0.8333 0.5000 Dy
0.8333 0.1667 0.5000 Dy
0.5000 0.5000 0.5000 Dy
0.0000 0.0000 0.0000 Tm

=====

TbPr6Dy3Tm2 (PBE, optimized geometry); space-group type = C2/m (12); total magnetization = 0.0 μB/f.u.; ΔH_f (0 K) = 0.01 eV/atom
1.0
-4.2336 1.8191 4.2898
5.7066 -1.9280 1.8307
3.4536 10.9919 -2.7888
Tb Pr Dy Tm
1 6 3 2
Direct
0.0000 0.0000 0.0000 Tb
0.9167 0.5829 0.7508 Pr
0.7496 0.7496 0.2490 Pr
0.0833 0.4171 0.2492 Pr
0.5829 0.9167 0.7508 Pr
0.2504 0.2504 0.7510 Pr
0.4171 0.0833 0.2492 Pr
0.1667 0.8333 0.5000 Dy
0.8333 0.1667 0.5000 Dy
0.5000 0.5000 0.5000 Dy
0.3334 0.6666 0.0000 Tm
0.6666 0.3334 0.0000 Tm